## i
A relaxed AlTlCl2 crystal, computed with PBE.

It has space group Cm (No. 8), with a = 12.079 Å, b = 3.341 Å, c = 6.078 Å, α = 90.00°, β = 104.05° and γ = 90.00°. Symmetry generates all atoms from Al at (0.000, 0.000, 0.000), Tl at (0.314, 0.000, 0.643), Cl at (0.148, 0.500, 0.972) and Cl at (0.478, 0.000, 0.289).

---

## ii
A relaxed AlTlCl2 crystal, computed with PBE.

It has space group F-43m (No. 216), with a = 7.413 Å, b = 7.413 Å, c = 7.413 Å, α = 90.00°, β = 90.00° and γ = 90.00°. Symmetry generates all atoms from Al at (0.000, 0.000, 0.000), Tl at (0.250, 0.250, 0.750), Cl at (0.000, 0.000, 0.500) and Cl at (0.250, 0.250, 0.250).

The calculation puts the density of states at the Fermi level at 0.000 states/eV per cell.

---

Most stable pick: i. Distance to second place: 412 meV per atom.

---

## i
A relaxed AlTlCl2 crystal, computed with PBE.

It has space group P4mm (No. 99), with a = 4.160 Å, b = 4.160 Å, c = 6.610 Å, α = 90.00°, β = 90.00° and γ = 90.00°. Symmetry generates all atoms from Al at (0.000, 0.000, 0.000), Tl at (0.500, 0.500, 0.574), Cl at (0.000, 0.000, 0.358) and Cl at (0.500, 0.500, 0.057).

The calculation puts the density of states at the Fermi level at 0.000 states/eV per cell.

---

## ii
A relaxed AlTlCl2 crystal, computed with PBE.

It has space group Imm2 (No. 44), with a = 3.517 Å, b = 4.938 Å, c = 13.283 Å, α = 90.00°, β = 90.00° and γ = 90.00°. Symmetry generates all atoms from Al at (0.000, 0.000, 0.000), Tl at (0.000, 0.500, 0.304), Cl at (0.000, 0.000, 0.451) and Cl at (0.000, 0.500, 0.633).

---

## iii
A relaxed AlTlCl2 crystal, computed with PBE.

It has space group I-42d (No. 122), with a = 6.908 Å, b = 6.908 Å, c = 14.100 Å, α = 90.00°, β = 90.00° and γ = 90.00°. Symmetry generates all atoms from Al at (0.000, 0.000, 0.000), Tl at (0.000, 0.000, 0.500) and Cl at (0.220, 0.250, 0.125).

The calculation puts the density of states at the Fermi level at 0.000 states/eV per cell.

---

## iv
A relaxed AlTlCl2 crystal, computed with PBE.

It has space group I-4m2 (No. 119), with a = 4.311 Å, b = 4.311 Å, c = 12.488 Å, α = 90.00°, β = 90.00° and γ = 90.00°. Symmetry generates all atoms from Al at (0.000, 0.000, 0.000), Tl at (0.000, 0.500, 0.250), Cl at (0.000, 0.000, 0.500) and Cl at (0.000, 0.500, 0.750).

---

Most stable pick: i. Distance to second place: 40 meV per atom.

---

## i
A relaxed AlTlCl2 crystal, computed with PBE.

It has space group Cmmm (No. 65), with a = 5.312 Å, b = 5.344 Å, c = 7.558 Å, α = 90.00°, β = 90.00° and γ = 90.00°. Symmetry generates all atoms from Al at (0.000, 0.000, 0.000), Tl at (0.000, 0.000, 0.500) and Cl at (0.000, 0.500, 0.237).

---

## ii
A relaxed AlTlCl2 crystal, computed with PBE.

It has space group R3m (No. 160, hexagonal axes), with a = 4.1878 Å, b = 4.1878 Å, c = 24.4581 Å, α = 90.00°, β = 90.00° and γ = 120.00°. Symmetry generates all atoms from Al at (0.0000, 0.0000, 0.0000), Tl at (0.0000, 0.0000, 0.2454), Cl at (0.0000, 0.0000, 0.5138) and Cl at (0.0000, 0.0000, 0.7135).

The calculation puts the density of states at the Fermi level at 0.000 states/eV per cell.

---

## iii
A relaxed AlTlCl2 crystal, computed with PBE.

It has space group P2/m (No. 10), with a = 3.444 Å, b = 4.004 Å, c = 7.679 Å, α = 90.00°, β = 90.07° and γ = 90.00°. Symmetry generates all atoms from Al at (0.000, 0.000, 0.000), Tl at (0.500, 0.000, 0.500) and Cl at (0.001, 0.500, 0.759).

The calculation puts the density of states at the Fermi level at 0.234 states/eV per cell.

---

## iv
A relaxed AlTlCl2 crystal, computed with PBE.

It has space group Pm (No. 6), with a = 5.698 Å, b = 3.564 Å, c = 6.117 Å, α = 90.00°, β = 103.20° and γ = 90.00°. Symmetry generates all atoms from Al at (0.000, 0.000, 0.000), Tl at (0.356, 0.500, 0.381), Cl at (0.703, 0.500, 0.001) and Cl at (0.976, 0.000, 0.631).

---

Most stable pick: iv. Distance to second place: 186 meV per atom.

---

## i
A relaxed AlTlCl2 crystal, computed with PBE.

It has space group Immm (No. 71), with a = 4.576 Å, b = 6.086 Å, c = 8.140 Å, α = 90.00°, β = 90.00° and γ = 90.00°. Symmetry generates all atoms from Al at (0.000, 0.000, 0.000), Tl at (0.000, 0.000, 0.500) and Cl at (0.000, 0.500, 0.278).

---

## ii
A relaxed AlTlCl2 crystal, computed with PBE.

It has space group R-3m (No. 166, hexagonal axes), with a = 4.4648 Å, b = 4.4648 Å, c = 21.7461 Å, α = 90.00°, β = 90.00° and γ = 120.00°. Symmetry generates all atoms from Al at (0.0000, 0.0000, 0.0000), Tl at (0.0000, 0.0000, 0.5000) and Cl at (0.0000, 0.0000, 0.2569).

---

Most stable pick: ii. Distance to second place: 50 meV per atom.

---

## i
A relaxed AlTl3Cl crystal, computed with PBE.

It has space group Pm-3m (No. 221), with a = 5.500 Å, b = 5.500 Å, c = 5.500 Å, α = 90.00°, β = 90.00° and γ = 90.00°. Symmetry generates all atoms from Al at (0.000, 0.000, 0.000), Tl at (0.000, 0.000, 0.500) and Cl at (0.500, 0.500, 0.500).

The calculation puts the density of states at the Fermi level at 3.002 states/eV per cell.

---

## ii
A relaxed AlTl3Cl crystal, computed with PBE.

It has space group Pm-3m (No. 221), with a = 5.806 Å, b = 5.806 Å, c = 5.806 Å, α = 90.00°, β = 90.00° and γ = 90.00°. Symmetry generates all atoms from Al at (0.000, 0.000, 0.000), Tl at (0.000, 0.500, 0.500) and Cl at (0.500, 0.500, 0.500).

The calculation puts the density of states at the Fermi level at 7.778 states/eV per cell.

---

Most stable pick: i. Distance to second place: 258 meV per atom.

---

## i
A relaxed AlTlCl4 crystal, computed with PBE.

It has space group Pnma (No. 62), with a = 10.741 Å, b = 7.273 Å, c = 9.876 Å, α = 90.00°, β = 90.00° and γ = 90.00°. Symmetry generates all atoms from Al at (0.052, 0.250, 0.183), Tl at (0.206, 0.250, 0.728), Cl at (0.055, 0.008, 0.312), Cl at (0.115, 0.750, 0.935) and Cl at (0.219, 0.250, 0.060).

The calculation puts the density of states at the Fermi level at 0.000 states/eV per cell.

---

## ii
A relaxed AlTlCl4 crystal, computed with PBE.

It has space group C2/c (No. 15), with a = 15.048 Å, b = 6.168 Å, c = 6.733 Å, α = 90.00°, β = 105.44° and γ = 90.00°. Symmetry generates all atoms from Al at (0.250, 0.250, 0.000), Tl at (0.000, 0.184, 0.250), Cl at (0.106, 0.378, 0.937) and Cl at (0.199, 0.057, 0.670).

The calculation puts the density of states at the Fermi level at 0.000 states/eV per cell.

---

## iii
A relaxed AlTlCl4 crystal, computed with PBE.

It has space group F-43m (No. 216), with a = 8.704 Å, b = 8.704 Å, c = 8.704 Å, α = 90.00°, β = 90.00° and γ = 90.00°. Symmetry generates all atoms from Al at (0.000, 0.000, 0.000), Tl at (0.250, 0.250, 0.250) and Cl at (0.125, 0.125, 0.625).

The calculation puts the density of states at the Fermi level at 3.047 states/eV per cell.

---

Most stable pick: i. Distance to second place: 143 meV per atom.